Material: Er3Au
Method: DFT, PBE-GGA
State: relaxed

a b c (Å): 3.647 3.558 9.170
angles (deg): 90.00 90.00 90.00
Fractional coordinates of all 4 atoms:
Er (0.500, 0.000, 0.734)
Er (0.000, 0.500, 0.469)
Er (0.500, 0.500, 0.140)
Au (0.000, 0.000, 0.991)

- relative energy among the computed polymorphs (kJ/mol of formula units) = 76
- space-group type = Pmm2, No. 25
- ΔH_f (0 K) (kcal/mol of atoms) = -5.096
- total energy (eV/atom) = -4.4625